Record 1
Crystalline Li12In3Cu at its relaxed geometry. Source: Alexandria, functional PBE.

Cell and atoms, written as POSCAR:
```
Li12In3Cu
1.0
-3.189 2.505 0.716
-2.487 -2.588 -2.019
-3.219 -8.255 14.542
Li Cu In
12 1 3
Direct
0.500 0.000 0.891
0.500 0.500 0.000
0.500 0.000 0.109
0.500 0.500 0.500
0.000 0.500 0.891
0.500 0.000 0.632
0.000 0.500 0.632
0.500 0.500 0.237
0.500 0.500 0.763
0.500 0.000 0.368
0.000 0.500 0.368
0.000 0.500 0.109
0.000 0.000 0.000
0.000 0.000 0.761
0.000 0.000 0.239
0.000 0.000 0.500
```

Computed properties:
ρ: 2.83 g/cm3
Fermi-level density of states: 6.53 states/eV/f.u.
raw total energy: -2.346 eV per atom
energy of formation from the pure elements: -0.141 eV per atom

---

Record 2
Crystalline CaBIrPb2 at its relaxed geometry. Source: Alexandria, functional PBE.

Cell and atoms, written as POSCAR:
```
CaBIrPb2
1.0
5.205 0.000 0.000
0.000 5.464 0.000
0.000 0.000 5.205
Ir B Ca Pb
1 1 1 2
Direct
0.000 0.000 0.000
0.500 0.500 0.500
0.000 0.500 0.000
0.500 0.000 0.000
0.000 0.000 0.500
```

Computed properties:
ρ: 7.37 g/cm3
Fermi-level density of states: 4.44 states/eV/f.u.
raw total energy: -4.146 eV per atom
energy of formation from the pure elements: 0.846 eV per atom

---

Record 3
Crystalline ReAg3 at its relaxed geometry. Source: Alexandria, functional PBE.

Cell and atoms, written as POSCAR:
```
ReAg3
1.0
-3.964 2.194 1.128
-4.906 -8.212 -1.267
0.867 -1.412 5.795
Ag Re
12 4
Direct
0.255 0.498 0.879
0.745 0.998 0.121
0.604 0.750 0.369
0.255 0.002 0.879
0.396 0.250 0.631
0.755 0.002 0.621
0.104 0.750 0.131
0.245 0.998 0.379
0.745 0.502 0.121
0.896 0.250 0.869
0.245 0.502 0.379
0.755 0.498 0.621
0.604 0.750 0.849
0.896 0.250 0.349
0.104 0.750 0.651
0.396 0.250 0.151
```

Computed properties:
ρ: 12.47 g/cm3
offset from the most stable computed form: 149 meV/atom
Fermi-level density of states: 2.28 states/eV/f.u.
raw total energy: -4.713 eV per atom
energy of formation from the pure elements: 0.537 eV per atom